(1)
Density functional theory data (PBE-GGA) for a relaxed Ho3PI7 crystal.

Summary:
ρ   4.74 Mg/m³
Formation energy without anion corrections   -1.201 eV/atom

Lattice parameters (Å, degrees): 8.7202 8.7202 7.5299 90.00 90.00 120.00
Closest atoms and distances in Å follow each position.
Space group P3m1 (No. 156)
Unique sites:
Ho  0.0111  0.5055  0.0000  1 P 2.71
P  0.3333  0.6667  0.1587  3 Ho 2.71
I  0.1700  0.3400  0.7588  2 Ho 3.05
I  0.3405  0.1702  0.2225  2 Ho 3.04
I  0.6667  0.3333  0.7551  3 Ho 3.19

***

(2)
Density functional theory data (PBE-GGA) for a relaxed LiDyHoAg crystal.

Summary:
ρ   7.61 Mg/m³
E   -57.33 eV per cell

Lattice parameters (Å, degrees): 7.2820 7.2820 7.2820 90.00 90.00 90.00
Closest atoms and distances in Å follow each position.
Space group F-43m (No. 216)
Unique sites:
Li  0.0000  0.0000  0.0000  4 Dy 3.15, 4 Ho 3.15
Dy  0.2500  0.2500  0.2500  4 Li 3.15, 4 Ag 3.15
Ho  0.2500  0.2500  0.7500  4 Li 3.15, 4 Ag 3.15
Ag  0.0000  0.0000  0.5000  4 Dy 3.15, 4 Ho 3.15

***

(3)
Density functional theory data (PBE-GGA) for a relaxed ErTc2 crystal.

Summary:
ρ   10.99 Mg/m³
Energy above the most stable polymorph in this dataset   0.0 meV/atom

Lattice parameters (Å, degrees): 5.3762 5.3762 8.7689 90.00 90.00 120.00
Closest atoms and distances in Å follow each position.
Space group P6_3/mmc (No. 194)
Unique sites:
Er  0.3333  0.6667  0.0620  12 Tc 3.12-3.15, 4 Er 3.29-3.30
Tc  0.0000  0.0000  0.0000  6 Tc 2.71
Tc  0.1716  0.3432  0.7500  6 Tc 2.61-2.77

***

(4)
Density functional theory data (PBE-GGA) for a relaxed ZnAgB3 crystal.

Summary:
ρ   5.03 Mg/m³
Energy above the most stable polymorph in this dataset   0.0 meV/atom

Lattice parameters (Å, degrees): 4.0800 4.0800 4.0800 90.00 90.00 90.00
Closest atoms and distances in Å follow each position.
Space group Pm-3m (No. 221)
Unique sites:
Zn  0.0000  0.0000  0.0000  6 B 2.04
Ag  0.5000  0.5000  0.5000  12 B 2.88
B  0.0000  0.0000  0.5000  2 Zn 2.04

***

(5)
Density functional theory data (PBE-GGA) for a relaxed Al3FeI crystal.

Summary:
ρ   4.12 Mg/m³
Energy above the most stable polymorph in this dataset   0.0 meV/atom
Formation energy without anion corrections   0.248 eV/atom

Lattice parameters (Å, degrees): 4.7376 4.7376 4.7376 90.00 90.00 90.00
Closest atoms and distances in Å follow each position.
Space group Pm-3m (No. 221)
Unique sites:
Al  0.0000  0.0000  0.5000  2 Fe 2.37
Fe  0.0000  0.0000  0.0000  6 Al 2.37
I  0.5000  0.5000  0.5000  12 Al 3.35

***

(6)
Density functional theory data (PBE-GGA) for a relaxed SrCaMg6 crystal.

Summary:
ρ   2.00 Mg/m³
Energy above the most stable polymorph in this dataset   0.0 meV/atom

Lattice parameters (Å, degrees): 5.3372 7.2616 11.7386 90.00 90.00 90.00
Closest atoms and distances in Å follow each position.
Space group Amm2 (No. 38)
Unique sites:
Sr  0.0000  0.0000  0.0000  12 Mg 3.44-3.64
Ca  0.5000  0.0000  0.7011  12 Mg 3.44-3.63
Mg  0.0000  0.0000  0.5161  8 Mg 3.23-3.56, 2 Ca 3.44
Mg  0.0000  0.2182  0.2648  6 Mg 3.17-3.35, 2 Sr 3.44-3.49, 2 Ca 3.44
Mg  0.5000  0.0000  0.1900  6 Mg 3.23-3.29, 2 Sr 3.48
Mg  0.5000  0.2163  0.4367  6 Mg 3.14-3.35, 2 Ca 3.45-3.48, 2 Sr 3.45

***

(7)
Density functional theory data (PBE-GGA) for a relaxed RbBiSbI2 crystal.

Summary:
ρ   4.31 Mg/m³
Energy above the most stable polymorph in this dataset   963.0 meV/atom
Formation energy without anion corrections   0.650 eV/atom

Lattice parameters (Å, degrees): 6.3454 6.3454 6.4151 90.00 90.00 90.00
Closest atoms and distances in Å follow each position.
Space group P4/mmm (No. 123)
Unique sites:
Rb  0.0000  0.0000  0.0000  4 I 3.17, 2 Sb 3.21
Bi  0.5000  0.5000  0.5000  4 Sb 4.49, 8 I 4.51
Sb  0.0000  0.0000  0.5000  2 Rb 3.21
I  0.0000  0.5000  0.0000  2 Rb 3.17

***

(8)
Density functional theory data (PBE-GGA) for a relaxed ScZnOs2 crystal.

Summary:
ρ   13.14 Mg/m³
E   -59.57 eV per cell

Lattice parameters (Å, degrees): 4.2985 4.2985 6.7155 90.00 90.00 90.00
Closest atoms and distances in Å follow each position.
Space group I-4m2 (No. 119)
Unique sites:
Sc  0.0000  0.0000  0.0000  8 Os 2.73-3.04, 4 Zn 2.73
Zn  0.0000  0.5000  0.7500  8 Os 2.73-3.04, 4 Sc 2.73
Os  0.0000  0.0000  0.5000  4 Os 2.73, 4 Zn 2.73, 4 Sc 3.04
Os  0.0000  0.5000  0.2500  4 Os 2.73, 4 Sc 2.73, 4 Zn 3.04